{"formula": "Ba2AlCd4Pb3", "functional": "PBE-GGA", "state": "optimized geometry", "lattice": [[4.914, 0.000, 0.000], [0.000, 4.914, 0.000], [0.000, 0.000, 12.743]], "species": ["Ba", "Ba", "Al", "Cd", "Cd", "Cd", "Cd", "Pb", "Pb", "Pb"], "frac_coords": [[0.000, 0.500, 0.248], [0.500, 0.000, 0.752], [0.500, 0.500, 0.000], [0.000, 0.000, 0.500], [0.000, 0.500, 0.871], [0.500, 0.000, 0.129], [0.500, 0.500, 0.500], [0.000, 0.000, 0.000], [0.000, 0.500, 0.640], [0.500, 0.000, 0.360]], "density_g_cm3": 7.41, "space_group": "P-4m2 (115)", "energy_ev_per_atom": -2.503, "ef_ev_per_atom": -0.266}